(1)
Compound: TaTi5C3
Source: Alexandria
Functional: GGA-PBE
Structure: optimized geometry

a b c (Å): 5.955 5.955 7.837
angles (deg): 109.87 109.87 73.50
Atoms (fractional coordinates):
Ta (0.099, 0.099, 0.301)
Ta (0.901, 0.901, 0.699)
Ti (0.033, 0.629, 0.331)
Ti (0.234, 0.234, 0.029)
Ti (0.299, 0.701, 0.000)
Ti (0.371, 0.967, 0.669)
Ti (0.432, 0.432, 0.635)
Ti (0.568, 0.568, 0.365)
Ti (0.629, 0.033, 0.331)
Ti (0.701, 0.299, 0.000)
Ti (0.766, 0.766, 0.971)
Ti (0.967, 0.371, 0.669)
C (0.000, 0.000, 0.000)
C (0.000, 0.000, 0.500)
C (0.334, 0.334, 0.835)
C (0.336, 0.336, 0.332)
C (0.664, 0.664, 0.668)
C (0.666, 0.666, 0.165)

=====

(2)
Compound: Ta2Ti2C3
Source: Alexandria
Functional: GGA-PBE
Structure: optimized geometry

a b c (Å): 5.433 5.433 5.347
angles (deg): 101.06 101.06 33.45
Atoms (fractional coordinates):
Ta (0.123, 0.123, 0.382)
Ta (0.877, 0.877, 0.618)
Ti (0.363, 0.363, 0.133)
Ti (0.637, 0.637, 0.867)
C (0.250, 0.250, 0.753)
C (0.500, 0.500, 0.500)
C (0.750, 0.750, 0.247)

Summary:
Relative energy among the computed polymorphs in meV per atom: 0

=====

(3)
Compound: TaTi2C
Source: Alexandria
Functional: GGA-PBE
Structure: optimized geometry

a b c (Å): 5.679 5.679 5.679
angles (deg): 98.59 98.59 134.53
Atoms (fractional coordinates):
Ta (0.000, 0.000, 0.000)
Ta (0.750, 0.250, 0.500)
Ti (0.240, 0.625, 0.115)
Ti (0.375, 0.490, 0.615)
Ti (0.510, 0.125, 0.885)
Ti (0.875, 0.760, 0.385)
C (0.250, 0.750, 0.500)
C (0.500, 0.500, 0.000)

=====

(4)
Compound: TaTiC3
Source: Alexandria
Functional: GGA-PBE
Structure: optimized geometry

a b c (Å): 3.877 3.877 3.877
angles (deg): 90.00 90.00 90.00
Atoms (fractional coordinates):
Ta (0.000, 0.000, 0.000)
Ti (0.500, 0.500, 0.500)
C (0.000, 0.500, 0.500)
C (0.500, 0.000, 0.500)
C (0.500, 0.500, 0.000)

Summary:
Relative energy among the computed polymorphs in meV per atom: 136

=====

(5)
Compound: Ta2TiC3
Source: Alexandria
Functional: GGA-PBE
Structure: optimized geometry

a b c (Å): 6.336 6.336 4.398
angles (deg): 90.00 90.00 61.09
Atoms (fractional coordinates):
Ta (0.000, 0.332, 0.250)
Ta (0.000, 0.668, 0.750)
Ta (0.332, 0.000, 0.750)
Ta (0.668, 0.000, 0.250)
Ti (0.338, 0.662, 0.250)
Ti (0.662, 0.338, 0.750)
C (0.000, 0.331, 0.750)
C (0.000, 0.669, 0.250)
C (0.331, 0.000, 0.250)
C (0.336, 0.664, 0.750)
C (0.664, 0.336, 0.250)
C (0.669, 0.000, 0.750)

Summary:
Relative energy among the computed polymorphs in meV per atom: 215

=====

(6)
Compound: TaTi2C2
Source: Alexandria
Functional: GGA-PBE
Structure: optimized geometry

a b c (Å): 5.342 5.342 5.366
angles (deg): 99.26 99.26 119.96
Atoms (fractional coordinates):
Ta (0.070, 0.930, 0.750)
Ta (0.930, 0.070, 0.250)
Ti (0.252, 0.748, 0.250)
Ti (0.430, 0.570, 0.750)
Ti (0.570, 0.430, 0.250)
Ti (0.748, 0.252, 0.750)
C (0.166, 0.337, 0.998)
C (0.337, 0.166, 0.498)
C (0.663, 0.834, 0.502)
C (0.834, 0.663, 0.002)

Summary:
Relative energy among the computed polymorphs in meV per atom: 0

=====

(7)
Compound: Ta5TiC4
Source: Alexandria
Functional: GGA-PBE
Structure: optimized geometry

a b c (Å): 6.995 6.995 6.213
angles (deg): 103.31 103.31 25.69
Atoms (fractional coordinates):
Ta (0.000, 0.000, 0.000)
Ta (0.334, 0.334, 0.173)
Ta (0.336, 0.336, 0.658)
Ta (0.664, 0.664, 0.342)
Ta (0.666, 0.666, 0.827)
Ti (0.000, 0.000, 0.500)
C (0.165, 0.165, 0.584)
C (0.497, 0.497, 0.251)
C (0.503, 0.503, 0.749)
C (0.835, 0.835, 0.416)

=====

(8)
Compound: TaTiC3
Source: Alexandria
Functional: GGA-PBE
Structure: optimized geometry

a b c (Å): 4.088 4.088 4.088
angles (deg): 90.00 90.00 90.00
Atoms (fractional coordinates):
Ta (0.000, 0.000, 0.000)
Ti (0.500, 0.500, 0.500)
C (0.000, 0.000, 0.500)
C (0.000, 0.500, 0.000)
C (0.500, 0.000, 0.000)

Summary:
Relative energy among the computed polymorphs in meV per atom: 0

=====

(9)
Compound: TaTi4C4
Source: Alexandria
Functional: GGA-PBE
Structure: optimized geometry

a b c (Å): 5.358 5.358 5.358
angles (deg): 99.33 99.33 132.51
Atoms (fractional coordinates):
Ta (0.000, 0.000, 0.000)
Ti (0.186, 0.610, 0.796)
Ti (0.390, 0.186, 0.575)
Ti (0.610, 0.814, 0.425)
Ti (0.814, 0.390, 0.204)
C (0.099, 0.299, 0.398)
C (0.299, 0.901, 0.200)
C (0.701, 0.099, 0.800)
C (0.901, 0.701, 0.602)

=====

(10)
Compound: Ta2TiC
Source: Alexandria
Functional: GGA-PBE
Structure: optimized geometry

a b c (Å): 5.789 5.789 5.789
angles (deg): 98.04 98.04 136.07
Atoms (fractional coordinates):
Ta (0.002, 0.625, 0.877)
Ta (0.375, 0.252, 0.377)
Ta (0.748, 0.125, 0.123)
Ta (0.875, 0.998, 0.623)
Ti (0.250, 0.750, 0.500)
Ti (0.500, 0.500, 0.000)
C (0.000, 0.000, 0.000)
C (0.750, 0.250, 0.500)

=====

(11)
Compound: Ta2TiC
Source: Alexandria
Functional: GGA-PBE
Structure: optimized geometry

a b c (Å): 7.580 7.580 7.580
angles (deg): 23.42 23.42 23.42
Atoms (fractional coordinates):
Ta (0.225, 0.225, 0.225)
Ta (0.775, 0.775, 0.775)
Ti (0.000, 0.000, 0.000)
C (0.500, 0.500, 0.500)

=====

(12)
Compound: Ta3TiC4
Source: Alexandria
Functional: GGA-PBE
Structure: optimized geometry

a b c (Å): 4.449 4.449 4.449
angles (deg): 90.00 90.00 90.00
Atoms (fractional coordinates):
Ta (0.000, 0.000, 0.500)
Ta (0.000, 0.500, 0.000)
Ta (0.500, 0.000, 0.000)
Ti (0.500, 0.500, 0.500)
C (0.000, 0.000, 0.000)
C (0.000, 0.500, 0.500)
C (0.500, 0.000, 0.500)
C (0.500, 0.500, 0.000)

=====

(13)
Compound: TaTi2C2
Source: Alexandria
Functional: GGA-PBE
Structure: optimized geometry

a b c (Å): 5.633 5.633 4.446
angles (deg): 108.03 108.03 96.44
Atoms (fractional coordinates):
Ta (0.140, 0.860, 0.750)
Ta (0.860, 0.140, 0.250)
Ti (0.216, 0.429, 0.997)
Ti (0.429, 0.216, 0.497)
Ti (0.571, 0.784, 0.503)
Ti (0.784, 0.571, 0.003)
C (0.160, 0.840, 0.250)
C (0.394, 0.606, 0.750)
C (0.606, 0.394, 0.250)
C (0.840, 0.160, 0.750)

Summary:
Relative energy among the computed polymorphs in meV per atom: 526

=====

(14)
Compound: UTaTiC3
Source: Alexandria
Functional: GGA-PBE
Structure: optimized geometry

a b c (Å): 5.585 3.230 8.402
angles (deg): 90.00 102.47 90.00
Atoms (fractional coordinates):
U (0.150, 0.250, 0.201)
U (0.850, 0.750, 0.799)
Ta (0.368, 0.250, 0.860)
Ta (0.632, 0.750, 0.140)
Ti (0.275, 0.750, 0.550)
Ti (0.725, 0.250, 0.450)
C (0.053, 0.250, 0.661)
C (0.240, 0.750, 0.994)
C (0.455, 0.750, 0.346)
C (0.545, 0.250, 0.654)
C (0.760, 0.250, 0.006)
C (0.947, 0.750, 0.339)

=====

(15)
Compound: UTa2TiC4
Source: Alexandria
Functional: GGA-PBE
Structure: optimized geometry

a b c (Å): 5.832 5.832 11.300
angles (deg): 90.00 90.00 148.12
Atoms (fractional coordinates):
U (0.129, 0.871, 0.750)
U (0.871, 0.129, 0.250)
Ta (0.370, 0.630, 0.535)
Ta (0.370, 0.630, 0.965)
Ta (0.630, 0.370, 0.035)
Ta (0.630, 0.370, 0.465)
Ti (0.141, 0.859, 0.250)
Ti (0.859, 0.141, 0.750)
C (0.000, 0.000, 0.000)
C (0.000, 0.000, 0.500)
C (0.259, 0.741, 0.115)
C (0.259, 0.741, 0.385)
C (0.472, 0.528, 0.750)
C (0.528, 0.472, 0.250)
C (0.741, 0.259, 0.615)
C (0.741, 0.259, 0.885)

=====

(16)
Compound: U3Ta2TiC6
Source: Alexandria
Functional: GGA-PBE
Structure: optimized geometry

a b c (Å): 5.614 5.614 5.901
angles (deg): 99.12 99.12 119.98
Atoms (fractional coordinates):
U (0.000, 0.000, 0.000)
U (0.335, 0.665, 0.000)
U (0.665, 0.335, 0.000)
Ta (0.167, 0.833, 0.500)
Ta (0.833, 0.167, 0.500)
Ti (0.500, 0.500, 0.500)
C (0.093, 0.425, 0.275)
C (0.242, 0.242, 0.723)
C (0.425, 0.093, 0.275)
C (0.575, 0.907, 0.725)
C (0.758, 0.758, 0.277)
C (0.907, 0.575, 0.725)

=====

(17)
Compound: U2TaTiC4
Source: Alexandria
Functional: GGA-PBE
Structure: optimized geometry

a b c (Å): 5.604 3.250 5.874
angles (deg): 90.00 108.61 90.00
Atoms (fractional coordinates):
U (0.000, 0.000, 0.000)
U (0.500, 0.500, 0.000)
Ta (0.000, 0.500, 0.500)
Ti (0.500, 0.000, 0.500)
C (0.243, 0.000, 0.725)
C (0.259, 0.500, 0.275)
C (0.741, 0.500, 0.725)
C (0.757, 0.000, 0.275)

=====

(18)
Compound: UTaTi2C4
Source: Alexandria
Functional: GGA-PBE
Structure: optimized geometry

a b c (Å): 5.535 3.185 5.635
angles (deg): 90.00 109.24 90.00
Atoms (fractional coordinates):
U (0.000, 0.000, 0.000)
Ta (0.000, 0.500, 0.500)
Ti (0.500, 0.000, 0.500)
Ti (0.500, 0.500, 0.000)
C (0.253, 0.000, 0.747)
C (0.264, 0.500, 0.266)
C (0.736, 0.500, 0.734)
C (0.747, 0.000, 0.253)

=====

(19)
Compound: TaTi2VC4
Source: Alexandria
Functional: GGA-PBE
Structure: optimized geometry

a b c (Å): 5.299 3.069 5.317
angles (deg): 90.00 109.39 90.00
Atoms (fractional coordinates):
Ta (0.000, 0.000, 0.000)
Ti (0.000, 0.500, 0.500)
Ti (0.500, 0.000, 0.500)
V (0.500, 0.500, 0.000)
C (0.256, 0.500, 0.251)
C (0.258, 0.000, 0.754)
C (0.742, 0.000, 0.246)
C (0.744, 0.500, 0.749)

=====

(20)
Compound: Ta2TiVC4
Source: Alexandria
Functional: GGA-PBE
Structure: optimized geometry

a b c (Å): 5.339 3.100 5.383
angles (deg): 90.00 109.87 90.00
Atoms (fractional coordinates):
Ta (0.000, 0.000, 0.000)
Ta (0.000, 0.500, 0.500)
Ti (0.500, 0.000, 0.500)
V (0.500, 0.500, 0.000)
C (0.257, 0.500, 0.250)
C (0.259, 0.000, 0.756)
C (0.741, 0.000, 0.244)
C (0.743, 0.500, 0.750)

=====

(21)
Compound: TaTiWC3
Source: Alexandria
Functional: GGA-PBE
Structure: optimized geometry

a b c (Å): 3.115 3.115 7.616
angles (deg): 90.00 90.00 120.00
Atoms (fractional coordinates):
Ta (0.000, 0.000, 0.000)
Ti (0.667, 0.333, 0.334)
W (0.333, 0.667, 0.660)
C (0.000, 0.000, 0.498)
C (0.333, 0.667, 0.168)
C (0.667, 0.333, 0.826)

=====

(22)
Compound: Y2TaTiC
Source: Alexandria
Functional: GGA-PBE
Structure: optimized geometry

a b c (Å): 4.963 4.963 4.151
angles (deg): 90.00 90.00 90.00
Atoms (fractional coordinates):
Y (0.000, 0.500, 0.000)
Y (0.500, 0.000, 0.000)
Ta (0.000, 0.000, 0.500)
Ti (0.500, 0.500, 0.500)
C (0.500, 0.500, 0.000)

=====

(23)
Compound: Zr2TaTiC
Source: Alexandria
Functional: GGA-PBE
Structure: optimized geometry

a b c (Å): 4.914 4.914 4.567
angles (deg): 90.00 90.00 90.00
Atoms (fractional coordinates):
Zr (0.000, 0.500, 0.000)
Zr (0.500, 0.000, 0.000)
Ta (0.000, 0.000, 0.500)
Ti (0.000, 0.000, 0.000)
C (0.500, 0.500, 0.500)

=====

(24)
Compound: Zr2TaTiC4
Source: Alexandria
Functional: GGA-PBE
Structure: optimized geometry

a b c (Å): 5.583 3.237 5.596
angles (deg): 90.00 109.39 90.00
Atoms (fractional coordinates):
Zr (0.000, 0.000, 0.000)
Zr (0.500, 0.500, 0.000)
Ta (0.000, 0.500, 0.500)
Ti (0.500, 0.000, 0.500)
C (0.246, 0.000, 0.735)
C (0.256, 0.500, 0.266)
C (0.744, 0.500, 0.734)
C (0.754, 0.000, 0.265)

=====

no.,Fermi-level density of states (states/eV per atom),energy (eV/atom),ΔE_f (kJ per mole of atoms)
1,0.70,-9.402,-60.26
2,0.26,-10.356,-73.42
3,1.32,-9.140,7.36
4,0.79,-7.827,159.83
5,0.49,-10.381,-48.48
6,0.46,-9.912,-66.92
7,0.36,-11.015,-58.79
8,1.29,-7.963,146.75
9,0.51,-9.681,-72.90
10,0.52,-10.180,2.53
11,1.00,-10.544,-32.57
12,0.07,-10.745,-67.64
13,0.82,-9.386,-16.19
14,0.66,-10.234,-43.37
15,0.67,-10.281,-29.72
16,0.84,-10.547,-46.24
17,0.81,-10.371,-45.20
18,0.56,-10.054,-55.53
19,0.37,-9.880,-64.91
20,0.47,-10.306,-58.34
21,0.63,-10.482,-40.54
22,1.40,-8.164,20.84
23,1.41,-7.030,210.69
24,0.14,-9.984,-74.00